Computed, not measured: an optimized crystal structure of Sc5In3 at the GGA-PBEsol level of DFT.

The structure in POSCAR format:
```
Sc5In3
1.0
-3.4058 -3.1765 3.7266
6.6235 -1.1198 5.0988
-5.0575 6.6650 1.0592
Sc In
10 6
direct
0.7500 0.0000 0.2335 Sc
0.5000 0.3333 0.6667 Sc
0.7500 0.2335 0.0000 Sc
0.2500 0.0000 0.7665 Sc
0.7500 0.7665 0.7665 Sc
0.2500 0.2335 0.2335 Sc
0.5000 0.6667 0.3333 Sc
0.0000 0.3333 0.6667 Sc
0.0000 0.6667 0.3333 Sc
0.2500 0.7665 0.0000 Sc
0.7500 0.4008 0.4008 In
0.7500 0.0000 0.5992 In
0.2500 0.0000 0.4008 In
0.2500 0.4008 0.0000 In
0.2500 0.5992 0.5992 In
0.7500 0.5992 0.0000 In
```

Calculated values
The value obtained for the energy of formation is -0.399 eV/atom.

---

Computed, not measured: an optimized crystal structure of ScInSe at the GGA-PBEsol level of DFT.

The structure in POSCAR format:
```
ScInSe
1.0
-2.2849 2.4036 1.0696
-2.6233 -1.9741 -1.1678
2.1355 -2.7230 5.0047
Sc Se In
1 1 1
direct
0.6950 0.6950 0.3900 Sc
0.2889 0.2889 0.5778 Se
0.0161 0.0161 0.0322 In
```

Calculated values
Its formation energy from raw total energies is -2.63 eV per formula unit.

---

Computed, not measured: an optimized crystal structure of ScIn2Se at the GGA-PBEsol level of DFT.

The structure in POSCAR format:
```
ScIn2Se
1.0
-2.9600 -1.8179 1.0517
-1.5334 -2.4171 -2.2314
3.3856 -7.4933 2.8387
In Se Sc
2 1 1
direct
0.9967 0.9967 0.0098 In
0.7551 0.7551 0.7348 In
0.2383 0.2383 0.2850 Se
0.5098 0.5098 0.4705 Sc
```

Calculated values
Its formation energy from raw total energies is -2.38 eV per formula unit.

---

Computed, not measured: an optimized crystal structure of ScInSe3 at the GGA-PBEsol level of DFT.

The structure in POSCAR format:
```
ScInSe3
1.0
5.1268 0.0000 0.0000
0.0000 5.1268 0.0000
0.0000 0.0000 5.1268
In Se Sc
1 3 1
direct
0.5000 0.5000 0.5000 In
0.5000 0.0000 0.0000 Se
0.0000 0.5000 0.0000 Se
0.0000 0.0000 0.5000 Se
0.0000 0.0000 0.0000 Sc
```

Calculated values
Its formation energy from raw total energies is -2.82 eV per formula unit.

---

Computed, not measured: an optimized crystal structure of ScIn2Se at the GGA-PBEsol level of DFT.

The structure in POSCAR format:
```
ScIn2Se
1.0
-4.7021 -3.1008 -1.8445
2.1571 -1.5267 -2.9325
1.0591 -2.9979 2.3398
In Se Sc
2 1 1
direct
0.0000 0.5000 0.0000 In
0.0000 0.0000 0.5000 In
0.5000 0.0000 0.0000 Se
0.5000 0.5000 0.5000 Sc
```

Calculated values
Its formation energy from raw total energies is -1.89 eV per formula unit.

---

Computed, not measured: an optimized crystal structure of ScIn2Si at the GGA-PBEsol level of DFT.

The structure in POSCAR format:
```
ScIn2Si
1.0
4.1319 0.0000 0.0000
0.0000 4.1319 0.0000
0.0000 0.0000 4.6559
In Si Sc
2 1 1
direct
0.5000 0.0000 0.0000 In
0.0000 0.5000 0.0000 In
0.0000 0.0000 0.5000 Si
0.5000 0.5000 0.5000 Sc
```

Calculated values
Its formation energy from raw total energies is -1.10 eV per formula unit.

---

Computed, not measured: an optimized crystal structure of Sc2InSi at the GGA-PBEsol level of DFT.

The structure in POSCAR format:
```
Sc2InSi
1.0
-2.7846 0.3472 -1.1656
-1.0516 -2.1506 1.8715
-1.6655 5.7735 5.6988
Sc Si In
2 1 1
direct
0.0000 0.0000 0.2184 Sc
0.0000 0.0000 0.7816 Sc
0.5000 0.5000 0.0000 Si
0.5000 0.5000 0.5000 In
```

Calculated values
Its formation energy from raw total energies is -2.26 eV per formula unit.

---

Computed, not measured: an optimized crystal structure of ScIn2Si at the GGA-PBEsol level of DFT.

The structure in POSCAR format:
```
ScIn2Si
1.0
-4.0218 -0.5046 0.8414
-0.8292 -0.1513 -4.0538
3.0130 -4.2555 1.6657
Sc In Si
1 2 1
direct
0.5002 0.5003 0.0004 Sc
0.0002 0.0003 0.0003 In
0.2503 0.7501 0.5005 In
0.7494 0.2493 0.4987 Si
```

Calculated values
Its formation energy from raw total energies is -1.01 eV per formula unit.

---

Computed, not measured: an optimized crystal structure of ScInSi at the GGA-PBEsol level of DFT.

The structure in POSCAR format:
```
ScInSi
1.0
3.0819 0.0000 0.0000
0.0000 3.7509 0.0000
-1.5410 -1.8755 5.0658
Si Sc In
1 1 1
direct
0.3288 0.3288 0.6577 Si
0.6834 0.6834 0.3669 Sc
0.9877 0.9877 0.9754 In
```

Calculated values
Its formation energy from raw total energies is -0.59 eV per formula unit.

---

Computed, not measured: an optimized crystal structure of ScIn2Si at the GGA-PBEsol level of DFT.

The structure in POSCAR format:
```
ScIn2Si
1.0
-2.7003 1.0481 -1.4089
-1.4679 -2.7655 0.7562
-2.4456 3.2387 7.0966
In Sc Si
2 1 1
direct
0.5000 0.5000 0.2691 In
0.0000 0.0000 0.9703 In
0.0000 0.0000 0.5337 Sc
0.5000 0.5000 0.7270 Si
```

Calculated values
Its formation energy from raw total energies is -0.50 eV per formula unit.

---

Computed, not measured: an optimized crystal structure of ScInSi at the GGA-PBEsol level of DFT.

The structure in POSCAR format:
```
ScInSi
1.0
-0.1643 4.1768 -1.5776
-3.6447 2.4972 0.6647
0.1476 3.4610 2.8215
In Sc Si
1 1 1
direct
0.0000 0.0000 0.0000 In
0.5000 0.5000 0.5000 Sc
0.2500 0.2500 0.2500 Si
```

Calculated values
Its formation energy from raw total energies is -0.42 eV per formula unit.

---

Computed, not measured: an optimized crystal structure of ScIn2Si at the GGA-PBEsol level of DFT.

The structure in POSCAR format:
```
ScIn2Si
1.0
-2.4125 3.2250 -0.3252
-3.0437 -2.3934 -1.1560
1.3887 -0.9517 5.3635
Si In Sc
1 2 1
direct
0.5000 0.0000 0.0000 Si
0.2499 0.2500 0.4998 In
0.7501 0.7500 0.5002 In
0.0000 0.5000 0.0000 Sc
```

Calculated values
Its formation energy from raw total energies is -1.19 eV per formula unit.

---

Computed, not measured: an optimized crystal structure of Sc2InSi at the GGA-PBEsol level of DFT.

The structure in POSCAR format:
```
Sc2InSi
1.0
3.3071 0.0000 0.0000
1.6536 2.8641 0.0000
1.6536 0.9547 9.6693
Si In Sc
1 1 2
direct
0.5000 0.5000 0.5000 Si
0.0000 0.0000 0.0000 In
0.8977 0.8977 0.3070 Sc
0.1023 0.1023 0.6930 Sc
```

Calculated values
Its formation energy from raw total energies is -0.42 eV per formula unit.

---

Computed, not measured: an optimized crystal structure of Sc2InSn at the GGA-PBEsol level of DFT.

The structure in POSCAR format:
```
Sc2InSn
1.0
-0.0171 3.2018 -0.8601
-0.3532 0.8597 -3.1824
-10.4930 1.6273 -0.1229
Sc Sn In
2 1 1
direct
0.0924 0.0924 0.7227 Sc
0.9076 0.9076 0.2773 Sc
0.0000 0.0000 0.0000 Sn
0.5000 0.5000 0.5000 In
```

Calculated values
The value obtained for the energy of formation is -0.087 eV/atom.